An optimized crystal structure of CaTb3Pm2Sm6. Source: the Alexandria database, functional PBE.

POSCAR file:
```
CaTb3Pm2Sm6
1.0
3.146 -5.451 0.000
3.146 5.451 0.000
-2.091 0.000 11.823
Ca Tb Pm Sm
1 3 2 6
direct
0.000 0.000 0.000
0.166 0.834 0.500
0.500 0.500 0.500
0.834 0.166 0.500
0.333 0.667 0.000
0.667 0.333 0.000
0.086 0.424 0.255
0.253 0.253 0.745
0.424 0.086 0.255
0.576 0.914 0.745
0.747 0.747 0.255
0.914 0.576 0.745
```

An optimized crystal structure of CaTb2Pm6Sm3. Source: the Alexandria database, functional PBE.

POSCAR file:
```
CaTb2Pm6Sm3
1.0
3.163 -5.481 0.000
3.163 5.481 0.000
-2.097 0.000 11.831
Ca Tb Pm Sm
1 2 6 3
direct
0.000 0.000 0.000
0.333 0.667 0.000
0.667 0.333 0.000
0.085 0.425 0.251
0.255 0.255 0.749
0.425 0.085 0.251
0.575 0.915 0.749
0.745 0.745 0.251
0.915 0.575 0.749
0.166 0.834 0.500
0.500 0.500 0.500
0.834 0.166 0.500
```

An optimized crystal structure of CaTb3Pm6Sm2. Source: the Alexandria database, functional PBE.

POSCAR file:
```
CaTb3Pm6Sm2
1.0
3.155 -5.466 0.000
3.155 5.466 0.000
-2.093 0.000 11.822
Ca Tb Pm Sm
1 3 6 2
direct
0.000 0.000 0.000
0.166 0.834 0.500
0.500 0.500 0.500
0.834 0.166 0.500
0.086 0.425 0.254
0.253 0.253 0.745
0.425 0.086 0.254
0.575 0.914 0.746
0.747 0.747 0.255
0.914 0.575 0.746
0.333 0.667 0.000
0.667 0.333 0.000
```

An optimized crystal structure of CaTb2Pm3Sm6. Source: the Alexandria database, functional PBE.

POSCAR file:
```
CaTb2Pm3Sm6
1.0
3.157 -5.470 0.000
3.157 5.470 0.000
-2.097 0.000 11.835
Ca Tb Pm Sm
1 2 3 6
direct
0.000 0.000 0.000
0.333 0.667 0.000
0.667 0.333 0.000
0.166 0.834 0.500
0.500 0.500 0.500
0.834 0.166 0.500
0.084 0.424 0.250
0.255 0.255 0.749
0.424 0.084 0.250
0.576 0.916 0.750
0.745 0.745 0.251
0.916 0.576 0.750
```

An optimized crystal structure of CaTb2Pm6Sm. Source: the Alexandria database, functional PBE.

POSCAR file:
```
CaTb2Pm6Sm
1.0
4.598 -7.741 0.000
4.598 7.741 0.000
-1.459 0.000 9.790
Ca Tb Pm Sm
2 4 12 2
direct
0.098 0.902 0.750
0.902 0.098 0.250
0.200 0.301 0.957
0.301 0.200 0.457
0.699 0.800 0.543
0.800 0.699 0.043
0.002 0.789 0.377
0.069 0.528 0.177
0.211 0.998 0.123
0.260 0.615 0.552
0.385 0.740 0.948
0.472 0.931 0.323
0.528 0.069 0.677
0.615 0.260 0.052
0.740 0.385 0.448
0.789 0.002 0.877
0.931 0.472 0.823
0.998 0.211 0.623
0.475 0.525 0.250
0.525 0.475 0.750
```

An optimized crystal structure of CaTbPm6Sm2. Source: the Alexandria database, functional PBE.

POSCAR file:
```
CaTbPm6Sm2
1.0
4.592 -7.764 0.000
4.592 7.764 0.000
-1.569 0.000 9.810
Ca Tb Pm Sm
2 2 12 4
direct
0.098 0.902 0.750
0.902 0.098 0.250
0.477 0.523 0.250
0.523 0.477 0.750
0.001 0.215 0.624
0.075 0.530 0.177
0.215 0.001 0.124
0.262 0.618 0.552
0.382 0.738 0.948
0.470 0.925 0.323
0.530 0.075 0.677
0.618 0.262 0.052
0.738 0.382 0.448
0.785 0.999 0.876
0.925 0.470 0.823
0.999 0.785 0.376
0.200 0.300 0.958
0.300 0.200 0.458
0.700 0.800 0.542
0.800 0.700 0.042
```

no.,ΔH_f (0 K) (meV/atom)
1,33.3
2,35.8
3,30.8
4,39.9
5,133.4
6,130.1